(1)
The following is a meta-GGA SCAN calculation of a crystal of Ba2BiBr relaxed with PBEsol, from Alexandria.

space group	Fm-3m (225)
electronic total energy	-45.819	eV/atom

Cell lengths 8.3621, 8.3621, 8.3621 Å; angles 90.00, 90.00, 90.00 degrees
Element x y z (fractional)
1 Ba 0.2500 0.2500 0.2500
2 Ba 0.2500 0.2500 0.7500
3 Ba 0.2500 0.7500 0.2500
4 Ba 0.2500 0.7500 0.7500
5 Ba 0.7500 0.2500 0.2500
6 Ba 0.7500 0.2500 0.7500
7 Ba 0.7500 0.7500 0.2500
8 Ba 0.7500 0.7500 0.7500
9 Bi 0.0000 0.0000 0.0000
10 Bi 0.0000 0.5000 0.5000
11 Bi 0.5000 0.0000 0.5000
12 Bi 0.5000 0.5000 0.0000
13 Br 0.0000 0.0000 0.5000
14 Br 0.0000 0.5000 0.0000
15 Br 0.5000 0.0000 0.0000
16 Br 0.5000 0.5000 0.5000

=====

(2)
The following is a meta-GGA SCAN calculation of a crystal of BaTiBiC2 relaxed with PBEsol, from Alexandria.

space group	P4/mmm (123)
electronic total energy	-28.239	eV/atom
energy relative to the elements	2.63	eV per atom

Cell lengths 4.6600, 4.6600, 6.1593 Å; angles 90.00, 90.00, 90.00 degrees
Element x y z (fractional)
1 Ba 0.0000 0.0000 0.0000
2 Ti 0.5000 0.5000 0.0000
3 Bi 0.0000 0.0000 0.5000
4 C 0.0000 0.5000 0.5000
5 C 0.5000 0.0000 0.5000

=====

(3)
The following is a meta-GGA SCAN calculation of a crystal of Ba2ZrBiC relaxed with PBEsol, from Alexandria.

space group	P4/mmm (123)
electronic total energy	-38.393	eV/atom
energy relative to the elements	1.30	eV per atom

Cell lengths 6.2098, 6.2098, 5.4400 Å; angles 90.00, 90.00, 90.00 degrees
Element x y z (fractional)
1 Ba 0.0000 0.5000 0.0000
2 Ba 0.5000 0.0000 0.0000
3 Zr 0.0000 0.0000 0.0000
4 Bi 0.0000 0.0000 0.5000
5 C 0.5000 0.5000 0.5000

=====

(4)
The following is a meta-GGA SCAN calculation of a crystal of BaCaBi2 relaxed with PBEsol, from Alexandria.

space group	Fm-3m (225)
electronic total energy	-52.377	eV/atom
energy relative to the elements	-0.78	eV per atom

Cell lengths 8.1883, 8.1883, 8.1883 Å; angles 90.00, 90.00, 90.00 degrees
Element x y z (fractional)
1 Ba 0.0000 0.0000 0.0000
2 Ba 0.0000 0.5000 0.5000
3 Ba 0.5000 0.0000 0.5000
4 Ba 0.5000 0.5000 0.0000
5 Ca 0.0000 0.0000 0.5000
6 Ca 0.0000 0.5000 0.0000
7 Ca 0.5000 0.0000 0.0000
8 Ca 0.5000 0.5000 0.5000
9 Bi 0.2500 0.2500 0.2500
10 Bi 0.2500 0.2500 0.7500
11 Bi 0.2500 0.7500 0.2500
12 Bi 0.2500 0.7500 0.7500
13 Bi 0.7500 0.2500 0.2500
14 Bi 0.7500 0.2500 0.7500
15 Bi 0.7500 0.7500 0.2500
16 Bi 0.7500 0.7500 0.7500

=====

(5)
The following is a meta-GGA SCAN calculation of a crystal of Ba2CaBi2 relaxed with PBEsol, from Alexandria.

space group	P4/mbm (127)
electronic total energy	-50.092	eV/atom
energy relative to the elements	-0.91	eV per atom

Cell lengths 9.1094, 9.1094, 4.7353 Å; angles 90.00, 90.00, 90.00 degrees
Element x y z (fractional)
1 Ba 0.1345 0.3655 0.0000
2 Ba 0.3655 0.8655 0.0000
3 Ba 0.6345 0.1345 0.0000
4 Ba 0.8655 0.6345 0.0000
5 Ca 0.0000 0.0000 0.5000
6 Ca 0.5000 0.5000 0.5000
7 Bi 0.1710 0.6710 0.5000
8 Bi 0.3290 0.1710 0.5000
9 Bi 0.6710 0.8290 0.5000
10 Bi 0.8290 0.3290 0.5000

=====

(6)
The following is a meta-GGA SCAN calculation of a crystal of BaCaBiF7 relaxed with PBEsol, from Alexandria.

space group	P2_1/c (14)
electronic total energy	-18.700	eV/atom

Cell lengths 5.7613, 11.0044, 9.5487 Å; angles 90.00, 91.54, 90.00 degrees
Element x y z (fractional)
1 Ba 0.2445 0.1658 0.0226
2 Ba 0.2445 0.3342 0.5226
3 Ba 0.7555 0.6658 0.4774
4 Ba 0.7555 0.8342 0.9774
5 Ca 0.2356 0.6340 0.7706
6 Ca 0.2356 0.8660 0.2706
7 Ca 0.7644 0.1340 0.7294
8 Ca 0.7644 0.3660 0.2294
9 Bi 0.2728 0.5660 0.1433
10 Bi 0.2728 0.9340 0.6433
11 Bi 0.7272 0.0660 0.3567
12 Bi 0.7272 0.4340 0.8567
13 F 0.0048 0.7149 0.1963
14 F 0.0048 0.7851 0.6963
15 F 0.0056 0.0066 0.8486
16 F 0.0056 0.4934 0.3486
17 F 0.0737 0.1168 0.5891
18 F 0.0737 0.3832 0.0891
19 F 0.3300 0.7225 0.9895
20 F 0.3300 0.7775 0.4895
21 F 0.3473 0.0187 0.4105
22 F 0.3473 0.4813 0.9105
23 F 0.4820 0.0266 0.8404
24 F 0.4820 0.4734 0.3404
25 F 0.4981 0.7140 0.2456
26 F 0.4981 0.7860 0.7456
27 F 0.5019 0.2140 0.2544
28 F 0.5019 0.2860 0.7544
29 F 0.5180 0.5266 0.6596
30 F 0.5180 0.9734 0.1596
31 F 0.6527 0.5187 0.0895
32 F 0.6527 0.9813 0.5895
33 F 0.6700 0.2225 0.5105
34 F 0.6700 0.2775 0.0105
35 F 0.9263 0.6168 0.9109
36 F 0.9263 0.8832 0.4109
37 F 0.9944 0.5066 0.6514
38 F 0.9944 0.9934 0.1514
39 F 0.9952 0.2149 0.3037
40 F 0.9952 0.2851 0.8037

=====

(7)
The following is a meta-GGA SCAN calculation of a crystal of BaCaRe2Bi relaxed with PBEsol, from Alexandria.

space group	P4/mmm (123)
electronic total energy	-51.654	eV/atom
energy relative to the elements	2.34	eV per atom

Cell lengths 4.8417, 4.8417, 5.4701 Å; angles 90.00, 90.00, 90.00 degrees
Element x y z (fractional)
1 Ba 0.0000 0.0000 0.0000
2 Ca 0.0000 0.0000 0.5000
3 Re 0.0000 0.5000 0.5000
4 Re 0.5000 0.0000 0.5000
5 Bi 0.5000 0.5000 0.0000

=====

(8)
The following is a meta-GGA SCAN calculation of a crystal of Ba2Cd3Bi4 relaxed with PBEsol, from Alexandria.

space group	Cmce (64)
electronic total energy	-54.407	eV/atom
energy relative to the elements	-0.56	eV per atom

Cell lengths 9.3721, 9.3721, 9.2518 Å; angles 90.00, 90.00, 136.91 degrees
Element x y z (fractional)
1 Ba 0.1165 0.8835 0.9218
2 Ba 0.3835 0.6165 0.4218
3 Ba 0.6165 0.3835 0.5782
4 Ba 0.8835 0.1165 0.0782
5 Cd 0.0000 0.0000 0.5000
6 Cd 0.0286 0.4714 0.7500
7 Cd 0.4714 0.0286 0.2500
8 Cd 0.5000 0.5000 0.0000
9 Cd 0.5286 0.9714 0.7500
10 Cd 0.9714 0.5286 0.2500
11 Bi 0.1846 0.8154 0.5497
12 Bi 0.1979 0.3021 0.7500
13 Bi 0.3021 0.1979 0.2500
14 Bi 0.3154 0.6846 0.0497
15 Bi 0.6846 0.3154 0.9503
16 Bi 0.6979 0.8021 0.7500
17 Bi 0.8021 0.6979 0.2500
18 Bi 0.8154 0.1846 0.4503

=====

(9)
The following is a meta-GGA SCAN calculation of a crystal of Ba2CdBi relaxed with PBEsol, from Alexandria.

space group	Fm-3m (225)
electronic total energy	-47.726	eV/atom
energy relative to the elements	-0.70	eV per atom

Cell lengths 8.4080, 8.4080, 8.4080 Å; angles 90.00, 90.00, 90.00 degrees
Element x y z (fractional)
1 Ba 0.2500 0.2500 0.2500
2 Ba 0.2500 0.2500 0.7500
3 Ba 0.2500 0.7500 0.2500
4 Ba 0.2500 0.7500 0.7500
5 Ba 0.7500 0.2500 0.2500
6 Ba 0.7500 0.2500 0.7500
7 Ba 0.7500 0.7500 0.2500
8 Ba 0.7500 0.7500 0.7500
9 Cd 0.0000 0.0000 0.0000
10 Cd 0.0000 0.5000 0.5000
11 Cd 0.5000 0.0000 0.5000
12 Cd 0.5000 0.5000 0.0000
13 Bi 0.0000 0.0000 0.5000
14 Bi 0.0000 0.5000 0.0000
15 Bi 0.5000 0.0000 0.0000
16 Bi 0.5000 0.5000 0.5000

=====

(10)
The following is a meta-GGA SCAN calculation of a crystal of Ba3CdBi relaxed with PBEsol, from Alexandria.

space group	Pm-3m (221)
electronic total energy	-45.814	eV/atom
energy relative to the elements	-0.29	eV per atom

Cell lengths 6.6487, 6.6487, 6.6487 Å; angles 90.00, 90.00, 90.00 degrees
Element x y z (fractional)
1 Ba 0.0000 0.0000 0.5000
2 Ba 0.0000 0.5000 0.0000
3 Ba 0.5000 0.0000 0.0000
4 Cd 0.5000 0.5000 0.5000
5 Bi 0.0000 0.0000 0.0000

=====

(11)
The following is a meta-GGA SCAN calculation of a crystal of BaBi2Cl relaxed with PBEsol, from Alexandria.

space group	Fm-3m (225)
electronic total energy	-51.481	eV/atom

Cell lengths 8.0174, 8.0174, 8.0174 Å; angles 90.00, 90.00, 90.00 degrees
Element x y z (fractional)
1 Ba 0.0000 0.0000 0.0000
2 Ba 0.0000 0.5000 0.5000
3 Ba 0.5000 0.0000 0.5000
4 Ba 0.5000 0.5000 0.0000
5 Bi 0.2500 0.2500 0.2500
6 Bi 0.2500 0.2500 0.7500
7 Bi 0.2500 0.7500 0.2500
8 Bi 0.2500 0.7500 0.7500
9 Bi 0.7500 0.2500 0.2500
10 Bi 0.7500 0.2500 0.7500
11 Bi 0.7500 0.7500 0.2500
12 Bi 0.7500 0.7500 0.7500
13 Cl 0.0000 0.0000 0.5000
14 Cl 0.0000 0.5000 0.0000
15 Cl 0.5000 0.0000 0.0000
16 Cl 0.5000 0.5000 0.5000

=====

(12)
The following is a meta-GGA SCAN calculation of a crystal of Ba2BiCl relaxed with PBEsol, from Alexandria.

space group	Fm-3m (225)
electronic total energy	-43.042	eV/atom

Cell lengths 8.2717, 8.2717, 8.2717 Å; angles 90.00, 90.00, 90.00 degrees
Element x y z (fractional)
1 Ba 0.2500 0.2500 0.2500
2 Ba 0.2500 0.2500 0.7500
3 Ba 0.2500 0.7500 0.2500
4 Ba 0.2500 0.7500 0.7500
5 Ba 0.7500 0.2500 0.2500
6 Ba 0.7500 0.2500 0.7500
7 Ba 0.7500 0.7500 0.2500
8 Ba 0.7500 0.7500 0.7500
9 Bi 0.0000 0.0000 0.0000
10 Bi 0.0000 0.5000 0.5000
11 Bi 0.5000 0.0000 0.5000
12 Bi 0.5000 0.5000 0.0000
13 Cl 0.0000 0.0000 0.5000
14 Cl 0.0000 0.5000 0.0000
15 Cl 0.5000 0.0000 0.0000
16 Cl 0.5000 0.5000 0.5000